Record 1
## KNpPdI6 (PBE-GGA)

Data for a geometry-optimized KNpPdI6 structure.

The structure in POSCAR format:
```
KNpPdI6
1.0
7.5754 -0.0013 0.0001
3.7867 6.5598 0.0005
0.0004 0.0005 8.0450
I K Np Pd
6 1 1 1
Direct
0.0126 0.6315 0.7157 I
0.3558 0.0127 0.7157 I
0.3556 0.6317 0.2842 I
0.6315 0.0127 0.2842 I
0.0126 0.3559 0.2843 I
0.6316 0.3556 0.7158 I
0.9999 0.0000 0.0000 K
0.6666 0.6667 0.5000 Np
0.3335 0.3334 0.5000 Pd
```

formation energy without anion corrections = -0.7245 eV/atom
V = 44.4 Å³/atom
crystal system = trigonal
SG = P312

Record 2
## NaReAs3 (PBE-GGA)

Data for a geometry-optimized NaReAs3 structure.

The structure in POSCAR format:
```
NaReAs3
1.0
4.7435 0.0000 0.0000
0.0000 4.7435 0.0000
0.0000 0.0000 4.7435
As Na Re
3 1 1
Direct
0.5000 0.0000 0.0000 As
0.0000 0.5000 0.0000 As
0.0000 0.0000 0.5000 As
0.0000 0.0000 0.0000 Na
0.5000 0.5000 0.5000 Re
```

V = 21.3 Å³/atom
crystal system = cubic
SG = Pm-3m
energy of formation from the pure elements = 1.9801 eV per atom

Record 3
## Y2Tc12P7 (PBE-GGA)

Data for a geometry-optimized Y2Tc12P7 structure.

The structure in POSCAR format:
```
Y2Tc12P7
1.0
-3.1875 -0.2167 2.3311
-4.3079 -5.6313 -6.4139
5.3329 -3.8601 6.9331
Y Tc P
2 12 7
Direct
0.5000 0.0000 0.0000 Y
0.0000 0.6667 0.3333 Y
0.0000 0.7660 0.7089 Tc
0.5000 0.3672 0.2680 Tc
0.0000 0.0603 0.5498 Tc
0.0000 0.4502 0.5105 Tc
0.5000 0.9008 0.6328 Tc
0.5000 0.5492 0.7607 Tc
0.0000 0.9429 0.2340 Tc
0.5000 0.2393 0.7885 Tc
0.0000 0.2911 0.0571 Tc
0.5000 0.2115 0.4508 Tc
0.5000 0.7320 0.0992 Tc
0.0000 0.4895 0.9397 Tc
0.5000 0.6085 0.5405 P
0.5000 0.9320 0.3915 P
0.0000 0.7384 0.9418 P
0.5000 0.4595 0.0680 P
0.0000 0.2033 0.2616 P
0.0000 0.0582 0.7967 P
0.0000 0.3333 0.6667 P
```

V = 14.9 Å³/atom
crystal system = hexagonal
SG = P-6
energy of formation from the pure elements = -0.5978 eV per atom

Record 4
## Li3CuF4 (PBE-GGA)

Data for a geometry-optimized Li3CuF4 structure.

The structure in POSCAR format:
```
Li3CuF4
1.0
2.8732 0.0000 0.0000
-1.4366 2.4883 0.0000
0.0000 0.0000 20.4282
Li F Cu
6 8 2
Direct
0.0000 0.0000 0.0000 Li
0.0000 0.0000 0.5000 Li
0.6667 0.3333 0.3845 Li
0.6667 0.3333 0.1155 Li
0.3333 0.6667 0.6155 Li
0.3333 0.6667 0.8845 Li
0.6667 0.3333 0.5577 F
0.0000 0.0000 0.3286 F
0.0000 0.0000 0.8286 F
0.0000 0.0000 0.1714 F
0.0000 0.0000 0.6714 F
0.3333 0.6667 0.0577 F
0.6667 0.3333 0.9423 F
0.3333 0.6667 0.4423 F
0.3333 0.6667 0.2500 Cu
0.6667 0.3333 0.7500 Cu
```

formation energy without anion corrections = -2.4132 eV/atom
V = 9.1 Å³/atom
crystal system = hexagonal
SG = P6_3/mmc

Which value of V does entry 3 give?
14.9 Å³/atom